(1)
A geometry-optimized MgTeIr3 structure. Source: Alexandria, functional PBE.

Cell lengths 4.580, 4.580, 4.580 Å; angles 90.00, 90.00, 90.00 degrees
Space group Pm-3m (No. 221)
Symmetry-distinct sites (fractional):
Mg (0.000, 0.000, 0.000) (multiplicity 1)
Te (0.500, 0.500, 0.500) (multiplicity 1)
Ir (0.000, 0.000, 0.500) (multiplicity 3)

* Fermi-level density of states: 1.506 states/eV/atom
* raw formation energy: 1488 meV per atom

=====

(2)
A geometry-optimized MgTe2Ir structure. Source: Alexandria, functional PBE.

Cell lengths 4.963, 5.238, 7.540 Å; angles 90.00, 90.00, 90.00 degrees
Space group Amm2 (No. 38)
Symmetry-distinct sites (fractional):
Mg (0.000, 0.000, 0.000) (multiplicity 2)
Te (0.000, 0.000, 0.637) (multiplicity 2)
Te (0.500, 0.000, 0.180) (multiplicity 2)
Ir (0.500, 0.000, 0.800) (multiplicity 2)

* Fermi-level density of states: 0.904 states/eV/atom
* raw formation energy: -130 meV per atom

=====

(3)
A geometry-optimized MgTeIr structure. Source: Alexandria, functional PBE.

Cell lengths 4.5483, 4.5483, 3.2444 Å; angles 90.00, 90.00, 120.00 degrees
Space group P-6m2 (No. 187)
Symmetry-distinct sites (fractional):
Mg (0.0000, 0.0000, 0.0000) (multiplicity 1)
Te (0.3333, 0.6667, 0.5000) (multiplicity 1)
Ir (0.6667, 0.3333, 0.5000) (multiplicity 1)

* Fermi-level density of states: 0.250 states/eV/atom
* raw formation energy: -85 meV per atom
* energy above the lowest structure with this stoichiometry: 249 meV per atom

=====

(4)
A geometry-optimized MgTe2Ir structure. Source: Alexandria, functional PBE.

Cell lengths 3.988, 6.259, 7.783 Å; angles 90.00, 90.00, 90.00 degrees
Space group Cmmm (No. 65)
Symmetry-distinct sites (fractional):
Mg (0.000, 0.000, 0.000) (multiplicity 2)
Te (0.000, 0.500, 0.276) (multiplicity 4)
Ir (0.000, 0.000, 0.500) (multiplicity 2)

* Fermi-level density of states: 0.793 states/eV/atom
* raw formation energy: 235 meV per atom

=====

(5)
A geometry-optimized MgTeIr2 structure. Source: Alexandria, functional PBE.

Cell lengths 2.977, 4.537, 5.418 Å; angles 90.00, 100.81, 90.00 degrees
Space group P2/m (No. 10)
Symmetry-distinct sites (fractional):
Mg (0.000, 0.000, 0.000) (multiplicity 1)
Te (0.500, 0.000, 0.500) (multiplicity 1)
Ir (0.374, 0.500, 0.219) (multiplicity 2)

* Fermi-level density of states: 0.696 states/eV/atom
* raw formation energy: 132 meV per atom
* energy above the lowest structure with this stoichiometry: 154 meV per atom

=====

(6)
A geometry-optimized Mg2TeIr structure. Source: Alexandria, functional PBE.

Cell lengths 3.489, 4.351, 5.547 Å; angles 90.00, 108.12, 90.00 degrees
Space group Pm (No. 6)
Symmetry-distinct sites (fractional):
Mg (0.000, 0.000, 0.000) (multiplicity 1)
Mg (0.320, 0.500, 0.644) (multiplicity 1)
Te (0.596, 0.500, 0.192) (multiplicity 1)
Ir (0.743, 0.000, 0.488) (multiplicity 1)

* Fermi-level density of states: 0.617 states/eV/atom
* raw formation energy: -210 meV per atom

=====

(7)
A geometry-optimized Mg2TeIr structure. Source: Alexandria, functional PBE.

Cell lengths 4.167, 4.167, 8.772 Å; angles 90.00, 90.00, 90.00 degrees
Space group I-4m2 (No. 119)
Symmetry-distinct sites (fractional):
Mg (0.000, 0.000, 0.000) (multiplicity 2)
Mg (0.000, 0.500, 0.250) (multiplicity 2)
Te (0.000, 0.500, 0.750) (multiplicity 2)
Ir (0.000, 0.000, 0.500) (multiplicity 2)

* Fermi-level density of states: 0.542 states/eV/atom
* raw formation energy: -98 meV per atom

=====

(8)
A geometry-optimized Mg2TeIr structure. Source: Alexandria, functional PBE.

Cell lengths 4.169, 4.169, 8.565 Å; angles 90.00, 90.00, 90.00 degrees
Space group I4/mmm (No. 139)
Symmetry-distinct sites (fractional):
Mg (0.000, 0.500, 0.250) (multiplicity 4)
Te (0.000, 0.000, 0.000) (multiplicity 2)
Ir (0.000, 0.000, 0.500) (multiplicity 2)

* Fermi-level density of states: 0.368 states/eV/atom
* raw formation energy: -162 meV per atom